First-principles (PBE) data for a geometry-optimized CuSb2Pb structure, as listed in Alexandria via LeMat-Bulk.

Cell: 3.2603 4.0970 7.7157 Å, 90.00 90.00 90.00°
With the nearest neighbours (Å) after each atom.
Space group Pmm2 (No. 25)
One atom of each set of equivalent atoms:
1 Cu 0.0000 0.0000 0.0000 (multiplicity 1)  2 Sb 2.72, 4 Pb 2.97
2 Sb 0.0000 0.0000 0.5199 (multiplicity 1)  4 Sb 3.03-3.26
3 Sb 0.0000 0.5000 0.2310 (multiplicity 1)  2 Cu 2.72, 2 Sb 3.03
4 Pb 0.5000 0.5000 0.8195 (multiplicity 1)  4 Cu 2.97, 2 Pb 3.26

Summary:
**E_form (uncorrected)**: 195 meV/atom